First-principles (GGA-PBEsol) data for crystalline K2CdW at its relaxed geometry, as listed in the Alexandria database.

Results
* formation energy: 1.096 eV/atom
* total moment: 0.007 μB/f.u.
* calculated density: 6.6 Mg/m³
* electronic total energy: -3.222 eV/atom

Lattice parameters (Å, degrees): 2.9577 2.9577 37.2176 90.00 90.00 120.00
Space group R-3m (No. 166, hexagonal axes)
One atom of each set of equivalent atoms:
K (0.0000, 0.0000, 0.2465) (multiplicity 6)
Cd (0.0000, 0.0000, 0.0000) (multiplicity 3)
W (0.0000, 0.0000, 0.5000) (multiplicity 3)